Model one:
Compound: CoNiMo2
Source: Alexandria
Functional: PBE-GGA
Structure: optimized geometry

Computed properties:
- volume (Å³/atom) = 13.2
- symmetry = I4/mmm

Lattice parameters (Å, degrees): 3.7544 3.7544 7.4844 90.00 90.00 90.00
Fractional positions:
1 Co 0.0000 0.0000 0.0000
2 Co 0.5000 0.5000 0.5000
3 Ni 0.0000 0.0000 0.5000
4 Ni 0.5000 0.5000 0.0000
5 Mo 0.0000 0.5000 0.2500
6 Mo 0.0000 0.5000 0.7500
7 Mo 0.5000 0.0000 0.2500
8 Mo 0.5000 0.0000 0.7500



Model two:
Compound: CoNiMo2
Source: Alexandria
Functional: PBE-GGA
Structure: optimized geometry

Computed properties:
- volume (Å³/atom) = 13.5
- symmetry = R-3m

Lattice parameters (Å, degrees): 2.6687 2.6687 26.3126 90.00 90.00 120.00
Fractional positions:
1 Co 0.0000 0.0000 0.0000
2 Co 0.3333 0.6667 0.6667
3 Co 0.6667 0.3333 0.3333
4 Ni 0.0000 0.0000 0.5000
5 Ni 0.3333 0.6667 0.1667
6 Ni 0.6667 0.3333 0.8333
7 Mo 0.0000 0.0000 0.2508
8 Mo 0.0000 0.0000 0.7492
9 Mo 0.3333 0.6667 0.4159
10 Mo 0.3333 0.6667 0.9175
11 Mo 0.6667 0.3333 0.0825
12 Mo 0.6667 0.3333 0.5841



Model three:
Compound: CoNiMo2
Source: Alexandria
Functional: PBE-GGA
Structure: optimized geometry

Computed properties:
- volume (Å³/atom) = 13.1
- symmetry = Pm

Lattice parameters (Å, degrees): 2.6532 4.2661 4.6357 90.00 90.08 90.00
Fractional positions:
1 Co 0.0000 0.0000 0.0000
2 Ni 0.0009 0.5000 0.3249
3 Mo 0.4987 0.5000 0.8394
4 Mo 0.5019 0.0000 0.4826



Short version: model three is the most stable of them.



Model one:
Compound: CoNiMo2
Source: Alexandria
Functional: PBE-GGA
Structure: optimized geometry

Computed properties:
- volume (Å³/atom) = 13.1
- symmetry = P2/m

Lattice parameters (Å, degrees): 2.6454 3.7537 5.2956 90.00 90.23 90.00
Fractional positions:
1 Co 0.0000 0.0000 0.0000
2 Ni 0.0000 0.0000 0.5000
3 Mo 0.4999 0.5000 0.2466
4 Mo 0.5001 0.5000 0.7534



Model two:
Compound: CoNiMo2
Source: Alexandria
Functional: PBE-GGA
Structure: optimized geometry

Computed properties:
- volume (Å³/atom) = 14.2
- symmetry = I-42d

Lattice parameters (Å, degrees): 6.6655 6.6655 5.1037 90.00 90.00 90.00
Fractional positions:
1 Co 0.0000 0.0000 0.0000
2 Co 0.0000 0.5000 0.2500
3 Co 0.5000 0.0000 0.7500
4 Co 0.5000 0.5000 0.5000
5 Ni 0.0000 0.0000 0.5000
6 Ni 0.0000 0.5000 0.7500
7 Ni 0.5000 0.0000 0.2500
8 Ni 0.5000 0.5000 0.0000
9 Mo 0.2315 0.2500 0.1250
10 Mo 0.2500 0.7315 0.3750
11 Mo 0.2500 0.7685 0.8750
12 Mo 0.2685 0.2500 0.6250
13 Mo 0.7315 0.7500 0.6250
14 Mo 0.7500 0.2315 0.8750
15 Mo 0.7500 0.2685 0.3750
16 Mo 0.7685 0.7500 0.1250



Short version: model one is the most stable of them.



Model one:
Compound: CoNiMo2
Source: Alexandria
Functional: PBE-GGA
Structure: optimized geometry

Computed properties:
- volume (Å³/atom) = 13.4
- symmetry = I-4m2

Lattice parameters (Å, degrees): 3.7592 3.7592 7.5791 90.00 90.00 90.00
Fractional positions:
1 Co 0.0000 0.0000 0.0000
2 Co 0.5000 0.5000 0.5000
3 Ni 0.0000 0.5000 0.2500
4 Ni 0.5000 0.0000 0.7500
5 Mo 0.0000 0.0000 0.5000
6 Mo 0.0000 0.5000 0.7500
7 Mo 0.5000 0.0000 0.2500
8 Mo 0.5000 0.5000 0.0000



Model two:
Compound: CoNiMo2
Source: Alexandria
Functional: PBE-GGA
Structure: optimized geometry

Computed properties:
- volume (Å³/atom) = 13.3
- symmetry = Cm

Lattice parameters (Å, degrees): 8.6737 2.6439 4.6910 90.00 98.87 90.00
Fractional positions:
1 Co 0.0000 0.0000 0.0000
2 Co 0.5000 0.5000 0.0000
3 Ni 0.2409 0.5000 0.2659
4 Ni 0.7409 0.0000 0.2659
5 Mo 0.2530 0.0000 0.7912
6 Mo 0.4893 0.0000 0.4740
7 Mo 0.7530 0.5000 0.7912
8 Mo 0.9893 0.5000 0.4740



Short version: model two is the most stable of them.



Model one:
Compound: CoNiMo2
Source: Alexandria
Functional: PBE-GGA
Structure: optimized geometry

Computed properties:
- volume (Å³/atom) = 13.5
- symmetry = F-43m

Lattice parameters (Å, degrees): 5.9936 5.9936 5.9936 90.00 90.00 90.00
Fractional positions:
1 Co 0.0000 0.0000 0.0000
2 Co 0.0000 0.5000 0.5000
3 Co 0.5000 0.0000 0.5000
4 Co 0.5000 0.5000 0.0000
5 Ni 0.2500 0.2500 0.7500
6 Ni 0.2500 0.7500 0.2500
7 Ni 0.7500 0.2500 0.2500
8 Ni 0.7500 0.7500 0.7500
9 Mo 0.0000 0.0000 0.5000
10 Mo 0.0000 0.5000 0.0000
11 Mo 0.2500 0.2500 0.2500
12 Mo 0.2500 0.7500 0.7500
13 Mo 0.5000 0.0000 0.0000
14 Mo 0.5000 0.5000 0.5000
15 Mo 0.7500 0.2500 0.7500
16 Mo 0.7500 0.7500 0.2500



Model two:
Compound: CoNiMo2
Source: Alexandria
Functional: PBE-GGA
Structure: optimized geometry

Computed properties:
- volume (Å³/atom) = 13.2
- symmetry = Cmmm

Lattice parameters (Å, degrees): 5.2809 7.4977 2.6589 90.00 90.00 90.00
Fractional positions:
1 Co 0.0000 0.0000 0.0000
2 Co 0.5000 0.5000 0.0000
3 Ni 0.0000 0.5000 0.0000
4 Ni 0.5000 0.0000 0.0000
5 Mo 0.2500 0.2500 0.5000
6 Mo 0.2500 0.7500 0.5000
7 Mo 0.7500 0.2500 0.5000
8 Mo 0.7500 0.7500 0.5000



Short version: model two is the most stable of them.



Model one:
Compound: Co3NiMo
Source: Alexandria
Functional: PBE-GGA
Structure: optimized geometry

Computed properties:
- volume (Å³/atom) = 12.4
- symmetry = P-1

Lattice parameters (Å, degrees): 4.7489 4.9215 6.5322 83.72 68.73 61.36
Fractional positions:
1 Co 0.1376 0.3993 0.3154
2 Co 0.1855 0.1947 0.9334
3 Co 0.3508 0.5979 0.6846
4 Co 0.6492 0.4021 0.3154
5 Co 0.8145 0.8053 0.0666
6 Co 0.8624 0.6007 0.6846
7 Ni 0.5000 0.0000 0.5000
8 Ni 0.5000 0.5000 0.0000
9 Mo 0.1468 0.9050 0.3002
10 Mo 0.8532 0.0950 0.6998



Model two:
Compound: Co3NiMo
Source: Alexandria
Functional: PBE-GGA
Structure: optimized geometry

Computed properties:
- volume (Å³/atom) = 16.5
- symmetry = Pm-3m

Lattice parameters (Å, degrees): 4.3489 4.3489 4.3489 90.00 90.00 90.00
Fractional positions:
1 Co 0.0000 0.0000 0.5000
2 Co 0.0000 0.5000 0.0000
3 Co 0.5000 0.0000 0.0000
4 Ni 0.5000 0.5000 0.5000
5 Mo 0.0000 0.0000 0.0000



Model three:
Compound: Co3NiMo
Source: Alexandria
Functional: PBE-GGA
Structure: optimized geometry

Computed properties:
- volume (Å³/atom) = 14.8
- symmetry = Pm-3m

Lattice parameters (Å, degrees): 4.1954 4.1954 4.1954 90.00 90.00 90.00
Fractional positions:
1 Co 0.0000 0.0000 0.5000
2 Co 0.0000 0.5000 0.0000
3 Co 0.5000 0.0000 0.0000
4 Ni 0.0000 0.0000 0.0000
5 Mo 0.5000 0.5000 0.5000



Short version: model one is the most stable of them.



Model one:
Compound: Co4NiMo
Source: Alexandria
Functional: PBE-GGA
Structure: optimized geometry

Computed properties:
- volume (Å³/atom) = 11.6
- symmetry = F-43m

Lattice parameters (Å, degrees): 4.6191 4.6191 4.6191 60.00 60.00 60.00
Fractional positions:
1 Co 0.1254 0.1254 0.1254
2 Co 0.1254 0.1254 0.6238
3 Co 0.1254 0.6238 0.1254
4 Co 0.6238 0.1254 0.1254
5 Ni 0.5000 0.5000 0.5000
6 Mo 0.7500 0.7500 0.7500



Model two:
Compound: Co4NiMo
Source: Alexandria
Functional: PBE-GGA
Structure: optimized geometry

Computed properties:
- volume (Å³/atom) = 11.9
- symmetry = C2/m

Lattice parameters (Å, degrees): 4.8212 6.9363 4.8654 90.00 118.20 90.00
Fractional positions:
1 Co 0.2483 0.1850 0.2570
2 Co 0.2483 0.8150 0.2570
3 Co 0.2517 0.3150 0.7430
4 Co 0.2517 0.6850 0.7430
5 Co 0.7483 0.3150 0.2570
6 Co 0.7483 0.6850 0.2570
7 Co 0.7517 0.1850 0.7430
8 Co 0.7517 0.8150 0.7430
9 Ni 0.0000 0.0000 0.5000
10 Ni 0.5000 0.5000 0.5000
11 Mo 0.0000 0.5000 0.0000
12 Mo 0.5000 0.0000 0.0000



Short version: model one is the most stable of them.